# Fe5Pb3F12 | the Alexandria database | GGA+U | relaxed
# Total magnetization in Bohr magnetons per cell: 176.2
# DFT total energy in eV per atom: -4.95
data_Fe5Pb3F12
_chemical_formula_sum 'Fe40 Pb24 F96'
_symmetry_space_group_name_H-M 'I a -3 d'
_symmetry_Int_Tables_number 230
_symmetry_space_group_name_Hall '-I 4bd 2c 3'
_cell_length_a 13.842
_cell_length_b 13.842
_cell_length_c 13.842
_cell_angle_alpha 90.00
_cell_angle_beta 90.00
_cell_angle_gamma 90.00
loop_
_atom_site_label
_atom_site_type_symbol
_atom_site_fract_x
_atom_site_fract_y
_atom_site_fract_z
Fe1 Fe 0.000 0.000 0.000
Fe2 Fe 0.000 0.250 0.375
Pb1 Pb 0.000 0.250 0.125
F1 F 0.052 0.134 0.947